(1)
# TlSbPd3, relaxed, DFT PBE
data_TlSbPd3
_symmetry_space_group_name_H-M 'P 1'
_symmetry_Int_Tables_number 1
_cell_length_a 5.018
_cell_length_b 5.018
_cell_length_c 5.018
_cell_angle_alpha 90.00
_cell_angle_beta 90.00
_cell_angle_gamma 90.00
loop_
_symmetry_equiv_pos_as_xyz
'x,y,z'
loop_
_atom_site_label
_atom_site_fract_x
_atom_site_fract_y
_atom_site_fract_z
_atom_site_occupancy
Tl1 0.000 0.000 0.000 1
Sb1 0.500 0.500 0.500 1
Pd1 0.000 0.500 0.500 1
Pd2 0.500 0.000 0.500 1
Pd3 0.500 0.500 0.000 1
# Final energy ... -4.1977 eV/atom
# Energy relative to the lowest polymorph listed for this composition ... 47.59 kJ/mol of atoms
# Symmetry ... Pm-3m
# Formation energy without anion corrections ... 0.22 eV per atom


(2)
# CeMgMn, relaxed, DFT PBE
data_CeMgMn
_symmetry_space_group_name_H-M 'P 1'
_symmetry_Int_Tables_number 1
_cell_length_a 6.543
_cell_length_b 6.377
_cell_length_c 5.944
_cell_angle_alpha 90.00
_cell_angle_beta 100.52
_cell_angle_gamma 90.00
loop_
_symmetry_equiv_pos_as_xyz
'x,y,z'
loop_
_atom_site_label
_atom_site_fract_x
_atom_site_fract_y
_atom_site_fract_z
_atom_site_occupancy
Ce1 0.235 0.104 0.458 1
Ce2 0.235 0.396 0.958 1
Ce3 0.765 0.604 0.042 1
Ce4 0.765 0.896 0.542 1
Mg1 0.222 0.599 0.458 1
Mg2 0.222 0.901 0.958 1
Mg3 0.778 0.099 0.042 1
Mg4 0.778 0.401 0.542 1
Mn1 0.458 0.249 0.729 1
Mn2 0.458 0.251 0.229 1
Mn3 0.542 0.749 0.771 1
Mn4 0.542 0.751 0.271 1
# Final energy ... -5.4024 eV/atom
# Symmetry ... P2_1/c